The following is a DFT calculation (PBE with a Hubbard U) of a geometry-optimized Ba2HoFe2O6 structure.

Properties
Space group: R-3m
Raw total energy in eV for the cell shown: -74.87

Lattice parameters (Å, degrees): 6.147 6.147 6.774 63.02 63.02 60.00
Fractional coordinates of all 11 atoms:
Ba (0.788, 0.788, 0.636)
Ba (0.212, 0.212, 0.364)
Ho (0.000, 0.000, 0.000)
Fe (0.426, 0.426, 0.721)
Fe (0.574, 0.574, 0.279)
O (0.755, 0.755, 0.256)
O (0.235, 0.755, 0.256)
O (0.755, 0.235, 0.256)
O (0.245, 0.765, 0.744)
O (0.765, 0.245, 0.744)
O (0.245, 0.245, 0.744)